The following is a PBE-GGA calculation of ZrIrPd2 after structural relaxation, from Alexandria.

Summary:
The magnetization is 0.0 μB per formula unit. The calculation puts the formation energy from the elements at -143 kJ/mol of formula units. The calculation puts the offset from the most stable computed form at 331 meV/atom.

abc: 4.551 4.551 4.551
angles: 60.00 60.00 60.00
Atoms (fractional coordinates):
Pd1 0.750 0.750 0.750
Pd2 0.250 0.250 0.250
Ir1 0.500 0.500 0.500
Zr1 0.000 0.000 0.000